# 1
The following is a SCAN calculation of a crystal of Ba4Cu3SnO9 relaxed with PBEsol, from Alexandria via LeMat-Bulk.

```
Ba4Cu3SnO9
1.0
7.958 0.000 0.000
0.000 7.958 0.000
0.000 0.000 7.958
Sn Cu O Ba
2 6 18 8
direct
0.000 0.000 0.000
0.500 0.500 0.500
0.500 0.000 0.000
0.000 0.500 0.500
0.000 0.500 0.000
0.000 0.000 0.500
0.500 0.000 0.500
0.500 0.500 0.000
0.000 0.500 0.750
0.000 0.738 0.000
0.762 0.500 0.500
0.262 0.000 0.000
0.500 0.762 0.500
0.500 0.500 0.762
0.000 0.000 0.738
0.738 0.000 0.000
0.500 0.238 0.500
0.500 0.250 0.000
0.238 0.500 0.500
0.250 0.000 0.500
0.000 0.500 0.250
0.000 0.000 0.262
0.750 0.000 0.500
0.500 0.750 0.000
0.500 0.500 0.238
0.000 0.262 0.000
0.250 0.250 0.250
0.250 0.250 0.750
0.250 0.750 0.750
0.750 0.750 0.250
0.750 0.250 0.750
0.750 0.250 0.250
0.250 0.750 0.250
0.750 0.750 0.750
```

Computed properties:
As for the density of states at the Fermi level: 0.18 states/eV per atom. Its theoretical density is 6.607 g cm⁻³.

---

# 2
The following is a SCAN calculation of a crystal of Ba7SrCu8O24 relaxed with PBEsol, from Alexandria via LeMat-Bulk.

```
Ba7SrCu8O24
1.0
-0.020 7.850 -0.339
-4.115 0.279 6.687
6.693 0.195 4.111
O Cu Ba Sr
24 8 7 1
direct
0.000 0.244 0.756
0.000 0.756 0.756
0.751 0.500 0.249
0.500 0.249 0.751
0.249 0.249 0.500
0.751 0.249 0.500
0.249 0.500 0.249
0.244 0.000 0.756
0.751 0.751 0.500
0.756 0.244 0.000
0.500 0.751 0.249
0.249 0.500 0.751
0.244 0.244 0.000
0.244 0.000 0.244
0.751 0.500 0.751
0.500 0.751 0.751
0.500 0.249 0.249
0.244 0.756 0.000
0.756 0.000 0.244
0.000 0.756 0.244
0.756 0.756 0.000
0.249 0.751 0.500
0.000 0.244 0.244
0.756 0.000 0.756
0.750 0.750 0.250
0.250 0.750 0.250
0.750 0.750 0.750
0.750 0.250 0.250
0.250 0.250 0.750
0.250 0.750 0.750
0.750 0.250 0.750
0.250 0.250 0.250
0.500 0.000 0.000
0.500 0.500 0.000
0.000 0.000 0.500
0.500 0.000 0.500
0.500 0.500 0.500
0.000 0.500 0.500
0.000 0.500 0.000
0.000 0.000 0.000
```

Computed properties:
As for the density of states at the Fermi level: 0.68 states/eV per atom. Its theoretical density is 6.646 g cm⁻³.

---

# 3
The following is a SCAN calculation of a crystal of BaSrCu2O4 relaxed with PBEsol, from Alexandria via LeMat-Bulk.

```
BaSrCu2O4
1.0
3.917 0.000 0.000
0.000 3.917 0.000
0.000 0.000 7.240
O Cu Ba Sr
4 2 1 1
direct
0.000 0.500 0.233
0.000 0.500 0.767
0.500 0.000 0.233
0.500 0.000 0.767
0.500 0.500 0.229
0.500 0.500 0.771
0.000 0.000 0.500
0.000 0.000 0.000
```

Computed properties:
As for the density of states at the Fermi level: 0.11 states/eV per atom. Its theoretical density is 6.220 g cm⁻³.

---

# 4
The following is a SCAN calculation of a crystal of BaSrYCu4O8 relaxed with PBEsol, from Alexandria via LeMat-Bulk.

```
BaSrYCu4O8
1.0
-1.227 1.040 -3.411
1.536 -3.176 -1.521
-12.144 -4.923 2.868
Cu O Ba Y Sr
4 8 1 1 1
direct
0.000 0.064 0.127
0.000 0.786 0.571
0.000 0.210 0.421
0.000 0.939 0.878
0.000 0.281 0.562
0.000 0.142 0.285
0.000 0.715 0.429
0.000 0.449 0.897
0.500 0.949 0.898
0.500 0.055 0.110
0.000 0.855 0.709
0.000 0.556 0.113
0.500 0.364 0.728
0.500 0.502 0.003
0.500 0.634 0.269
```

Computed properties:
As for the density of states at the Fermi level: 0.21 states/eV per atom. Its theoretical density is 6.010 g cm⁻³.

---

# 5
The following is a SCAN calculation of a crystal of BaSrY4Cu2O10 relaxed with PBEsol, from Alexandria via LeMat-Bulk.

```
BaSrY4Cu2O10
1.0
5.595 0.000 0.000
0.000 7.080 0.000
0.000 0.000 12.003
O Y Cu Ba Sr
20 8 4 2 2
direct
0.500 0.673 0.905
0.752 0.394 0.772
0.742 0.918 0.435
0.257 0.100 0.225
0.258 0.918 0.435
0.243 0.586 0.567
0.752 0.606 0.272
0.258 0.082 0.935
0.000 0.829 0.100
0.742 0.082 0.935
0.248 0.606 0.272
0.743 0.900 0.725
0.248 0.394 0.772
0.500 0.327 0.405
0.257 0.900 0.725
0.743 0.100 0.225
0.757 0.414 0.067
0.757 0.586 0.567
0.000 0.171 0.600
0.243 0.414 0.067
0.500 0.354 0.927
0.500 0.646 0.427
0.000 0.863 0.288
0.500 0.365 0.212
0.000 0.145 0.075
0.500 0.635 0.712
0.000 0.855 0.575
0.000 0.137 0.788
0.500 0.968 0.839
0.000 0.466 0.660
0.500 0.032 0.339
0.000 0.534 0.160
0.000 0.682 0.905
0.000 0.318 0.405
0.500 0.829 0.092
0.500 0.171 0.592
```

Computed properties:
Its theoretical density is 6.060 g cm⁻³.

---

# 6
The following is a SCAN calculation of a crystal of Ba2Sr2Y2Cu6O13 relaxed with PBEsol, from Alexandria via LeMat-Bulk.

```
Ba2Sr2Y2Cu6O13
1.0
5.385 0.010 0.000
-0.115 5.383 0.000
-2.635 -2.697 11.523
Cu O Sr Y Ba
6 13 2 2 2
direct
0.322 0.826 0.148
0.183 0.681 0.864
0.681 0.183 0.864
0.990 0.503 0.493
0.503 0.990 0.493
0.826 0.322 0.148
0.939 0.939 0.878
0.441 0.941 0.882
0.737 0.737 0.475
0.092 0.557 0.649
0.062 0.062 0.125
0.567 0.567 0.135
0.557 0.092 0.649
0.564 0.064 0.129
0.952 0.387 0.339
0.064 0.564 0.129
0.941 0.441 0.882
0.441 0.441 0.882
0.387 0.952 0.339
0.409 0.409 0.305
0.896 0.896 0.305
0.252 0.252 0.004
0.752 0.752 0.004
0.087 0.087 0.689
0.602 0.602 0.689
```

Computed properties:
As for the density of states at the Fermi level: 0.17 states/eV per atom. Its theoretical density is 6.049 g cm⁻³.

---

# 7
The following is a SCAN calculation of a crystal of Ba2CuTeO6 relaxed with PBEsol, from Alexandria via LeMat-Bulk.

```
Ba2CuTeO6
1.0
5.618 0.000 0.000
-2.809 5.101 0.097
0.000 3.004 4.748
O Ba Cu Te
6 2 1 1
direct
0.749 0.000 0.252
0.273 0.546 0.727
0.251 0.000 0.748
0.727 0.454 0.273
0.252 0.000 0.251
0.748 0.000 0.749
0.250 0.500 0.250
0.750 0.500 0.750
0.000 0.000 0.000
0.500 0.000 0.500
```

Computed properties:
Its theoretical density is 6.939 g cm⁻³.

---

# 8
The following is a SCAN calculation of a crystal of Ba4TiCu3O9 relaxed with PBEsol, from Alexandria via LeMat-Bulk.

```
Ba4TiCu3O9
1.0
7.847 0.000 0.000
0.000 7.847 0.000
0.000 0.000 7.847
Cu O Ba Ti
6 18 8 2
direct
0.500 0.500 0.000
0.500 0.000 0.500
0.500 0.000 0.000
0.000 0.500 0.000
0.000 0.500 0.500
0.000 0.000 0.500
0.246 0.500 0.500
0.500 0.750 0.000
0.500 0.754 0.500
0.500 0.500 0.754
0.000 0.000 0.746
0.500 0.246 0.500
0.254 0.000 0.000
0.000 0.000 0.254
0.250 0.000 0.500
0.500 0.500 0.246
0.746 0.000 0.000
0.750 0.000 0.500
0.000 0.500 0.250
0.000 0.746 0.000
0.500 0.250 0.000
0.754 0.500 0.500
0.000 0.500 0.750
0.000 0.254 0.000
0.750 0.250 0.750
0.750 0.250 0.250
0.250 0.250 0.250
0.250 0.750 0.250
0.750 0.750 0.250
0.250 0.750 0.750
0.750 0.750 0.750
0.250 0.250 0.750
0.000 0.000 0.000
0.500 0.500 0.500
```

Computed properties:
As for the density of states at the Fermi level: 0.10 states/eV per atom. Its theoretical density is 6.404 g cm⁻³.

---

no.,formation energy (no corrections) (kJ per mole of atoms)
1,-190
2,-142
3,-180
4,-185
5,-292
6,-203
7,-193
8,-219